# MgCrF4 PBE+U relaxed
# Energy, eV/atom: -5.79
# Crystal system: monoclinic
# Density, g/cm³: 3.39
data_MgCrF4
_chemical_formula_sum 'Mg4 Cr4 F16'
_symmetry_space_group_name_H-M 'C 1 2/c 1'
_symmetry_Int_Tables_number 15
_cell_length_a 11.1673
_cell_length_b 5.7165
_cell_length_c 5.0482
_cell_angle_alpha 90.00
_cell_angle_beta 112.21
_cell_angle_gamma 90.00
loop_
_symmetry_equiv_pos_as_xyz
'x,y,z'
'-x,-y,-z'
'-x,y,-z+1/2'
'x,-y,z+1/2'
'x+1/2,y+1/2,z'
'-x+1/2,-y+1/2,-z'
'-x+1/2,y+1/2,-z+1/2'
'x+1/2,-y+1/2,z+1/2'
loop_
_atom_site_label
_atom_site_fract_x
_atom_site_fract_y
_atom_site_fract_z
Mg1 0.0000 0.1777 0.2500
Cr1 0.2500 0.2500 0.0000
F1 0.1031 0.1028 0.6662
F2 0.1328 0.3713 0.1924